1.
A relaxed Ca2BRu2 crystal. Source: the Alexandria database, functional GGA-PBE.

Cell: 5.6640 5.6640 5.1651 Å, 56.75 56.75 90.00°
Last column: magnetic moment on the atom in μB.
Positions (direct):
Ru 0.3013 0.3013 0.3974  0.52
Ru 0.6987 0.6987 0.6026  0.52
Ca 0.7500 0.2500 0.5000  -0.01
Ca 0.2500 0.7500 0.5000  -0.01
B 0.0000 0.0000 0.0000  -0.03

- energy above the lowest structure with this stoichiometry (eV per atom) = 0.439

2.
A relaxed Ce5HoP6 crystal. Source: the Alexandria database, functional GGA-PBE.

Cell: 7.0543 7.0561 7.0558 Å, 60.00 80.40 70.52°
Last column: magnetic moment on the atom in μB.
Positions (direct):
P 0.7523 0.0825 0.3309  -0.02
P 0.2488 0.2479 0.0000  -0.02
P 0.2477 0.5866 0.3309  -0.02
P 0.7512 0.7521 0.0000  -0.02
P 0.7523 0.4134 0.6691  -0.02
P 0.2477 0.9175 0.6691  -0.02
Ce 0.0000 0.3335 0.3330  0.51
Ce 0.5000 0.1671 0.6657  0.52
Ce 0.0000 0.6665 0.6670  0.51
Ce 0.5000 0.8329 0.3343  0.52
Ce 0.5000 0.5000 0.0000  0.52
Ho 0.0000 0.0000 0.0000  0.01

Number 1: density of states at the Fermi level 0.912 states/eV/atom, DFT formation energy 575 meV/atom. Number 2: density of states at the Fermi level 1.790 states/eV/atom, DFT formation energy -1514 meV/atom.